VASP calculation (GGA-PBE) on crystalline K3LiP at its relaxed geometry.

Cell lengths 6.347, 6.347, 6.347 Å; angles 90.00, 90.00, 90.00 degrees
Sites, in units of the cell vectors:
K 0.000 0.000 0.500
K 0.000 0.500 0.000
K 0.500 0.000 0.000
Li 0.500 0.500 0.500
P 0.000 0.000 0.000

## Properties
ΔE to the lowest computed polymorph (meV per atom): 0
Magnetic moment (μB per formula unit): 1.0
Energy of formation from the pure elements (eV/atom): 0.079



VASP calculation (GGA-PBE) on crystalline AlZnTe2I at its relaxed geometry.

Cell lengths 5.302, 5.302, 5.800 Å; angles 90.00, 90.00, 90.00 degrees
Sites, in units of the cell vectors:
Al 0.000 0.000 0.000
Zn 0.500 0.500 0.500
Te 0.000 0.500 0.500
Te 0.500 0.000 0.500
I 0.500 0.500 0.000

## Properties
Formation energy without anion corrections (eV/atom): 0.303
ΔE to the lowest computed polymorph (meV per atom): 65
Magnetic moment (μB per formula unit): 0.0



VASP calculation (GGA-PBE) on crystalline AcMgHg6 at its relaxed geometry.

Cell lengths 9.181, 9.181, 9.181 Å; angles 39.55, 39.55, 39.55 degrees
Sites, in units of the cell vectors:
Ac 0.000 0.000 0.000
Mg 0.500 0.500 0.500
Hg 0.064 0.064 0.551
Hg 0.064 0.551 0.064
Hg 0.449 0.936 0.936
Hg 0.551 0.064 0.064
Hg 0.936 0.449 0.936
Hg 0.936 0.936 0.449

## Properties
ΔE to the lowest computed polymorph (meV per atom): 200
Magnetic moment (μB per formula unit): 0.0
Energy of formation from the pure elements (eV/atom): 0.029